Here is a geometry-optimized NiSe2Br structure from the Alexandria database. Energies are from PBEsol.

Cell lengths 5.3137, 5.3137, 5.3137 Å; angles 139.40, 115.01, 79.51 degrees
Positions (direct):
Ni: 0.0000 0.0000 0.0000
Se: 0.1606 0.6606 0.5000
Se: 0.8394 0.3394 0.5000
Br: 0.5000 0.5000 0.0000

Energy above the lowest structure with this stoichiometry (meV/atom): 393
N(E_F) (states/eV per cell): 3.65
Uncorrected formation energy (eV per formula unit): 0.5

***

Here is a geometry-optimized Hg2Pt structure from the Alexandria database. Energies are from PBEsol.

Cell lengths 4.7226, 4.7226, 2.9341 Å; angles 90.00, 90.00, 90.00 degrees
Positions (direct):
Hg: 0.0000 0.5000 0.0000
Hg: 0.5000 0.0000 0.0000
Pt: 0.0000 0.0000 0.5000

Energy above the lowest structure with this stoichiometry (meV/atom): 0
Energy relative to the elements (meV per atom): -82
N(E_F) (states/eV per cell): 0.88

***

Here is a geometry-optimized HgB2PbN structure from the Alexandria database. Energies are from PBEsol.

Cell lengths 3.9156, 3.9156, 5.0743 Å; angles 90.00, 90.00, 90.00 degrees
Positions (direct):
Hg: 0.0000 0.0000 0.0000
B: 0.0000 0.5000 0.5000
B: 0.5000 0.0000 0.5000
Pb: 0.5000 0.5000 0.0000
N: 0.5000 0.5000 0.5000

N(E_F) (states/eV per cell): 1.57
Uncorrected formation energy (eV per formula unit): 8.5

***

Here is a geometry-optimized BeRu2Rh structure from the Alexandria database. Energies are from PBEsol.

Cell lengths 2.6137, 2.6137, 8.2866 Å; angles 90.00, 90.00, 117.84 degrees
Positions (direct):
Be: 0.0000 0.0000 0.0000
Ru: 0.5000 0.5000 0.2273
Ru: 0.5000 0.5000 0.7727
Rh: 0.0000 0.0000 0.5000

Energy relative to the elements (meV per atom): 268
N(E_F) (states/eV per cell): 5.50